Record 1
# Li2HfBe2 | Alexandria | PBE-GGA | relaxed
# Space-group type = No. 127
# Distance to the lowest polymorph of the same formula = 207 meV/atom
# Formation enthalpy at 0 K = 0.412 eV/atom
# Density = 5.0 g/cm³
# Total magnetic moment = 0.000 μB/atom
data_Li2HfBe2
_chemical_formula_sum 'Li4 Hf2 Be4'
_cell_length_a 7.2074
_cell_length_b 7.2074
_cell_length_c 2.6661
_cell_angle_alpha 90.00
_cell_angle_beta 90.00
_cell_angle_gamma 90.00
_symmetry_space_group_name_H-M 'P 1'
_symmetry_Int_Tables_number 1
loop_
_symmetry_equiv_pos_as_xyz
'x,y,z'
loop_
_atom_site_label
_atom_site_type_symbol
_atom_site_fract_x
_atom_site_fract_y
_atom_site_fract_z
Be1 Be 0.3820 0.8820 0.0000
Be2 Be 0.8820 0.6180 0.0000
Be3 Be 0.6180 0.1180 0.0000
Be4 Be 0.1180 0.3820 0.0000
Hf1 Hf 0.0000 0.0000 0.0000
Hf2 Hf 0.5000 0.5000 0.0000
Li1 Li 0.1706 0.6706 0.5000
Li2 Li 0.6706 0.8294 0.5000
Li3 Li 0.8294 0.3294 0.5000
Li4 Li 0.3294 0.1706 0.5000

---

Record 2
# OsINO2 | Alexandria | PBE-GGA | relaxed
# Space-group type = No. 123
# Raw total energy = -4.4028 eV per atom
# Density = 8.2 g/cm³
# Total magnetic moment = 0.735 μB/atom
data_OsINO2
_chemical_formula_sum 'Os1 I1 N1 O2'
_cell_length_a 3.9433
_cell_length_b 4.7130
_cell_length_c 3.9433
_cell_angle_alpha 90.00
_cell_angle_beta 90.00
_cell_angle_gamma 90.00
_symmetry_space_group_name_H-M 'P 1'
_symmetry_Int_Tables_number 1
loop_
_symmetry_equiv_pos_as_xyz
'x,y,z'
loop_
_atom_site_label
_atom_site_type_symbol
_atom_site_fract_x
_atom_site_fract_y
_atom_site_fract_z
I1 I 0.0000 0.0000 0.0000
Os1 Os 0.5000 0.5000 0.5000
O1 O 0.0000 0.0000 0.5000
O2 O 0.5000 0.0000 0.0000
N1 N 0.0000 0.5000 0.0000

---

Record 3
# BaAg4Pt2 | Alexandria | PBE-GGA | relaxed
# Space-group type = No. 12
# Formation enthalpy at 0 K = -0.169 eV/atom
# Density = 11.1 g/cm³
# Total magnetic moment = 0.000 μB/atom
data_BaAg4Pt2
_chemical_formula_sum 'Ba1 Ag4 Pt2'
_cell_length_a 5.6041
_cell_length_b 5.7837
_cell_length_c 5.7837
_cell_angle_alpha 75.99
_cell_angle_beta 60.92
_cell_angle_gamma 60.92
_symmetry_space_group_name_H-M 'P 1'
_symmetry_Int_Tables_number 1
loop_
_symmetry_equiv_pos_as_xyz
'x,y,z'
loop_
_atom_site_label
_atom_site_type_symbol
_atom_site_fract_x
_atom_site_fract_y
_atom_site_fract_z
Pt1 Pt 0.7516 0.4997 0.4997
Pt2 Pt 0.2484 0.5003 0.5003
Ba1 Ba 0.0000 0.0000 0.0000
Ag1 Ag 0.6953 0.6080 0.0012
Ag2 Ag 0.3047 0.3920 0.9988
Ag3 Ag 0.6953 0.0012 0.6080
Ag4 Ag 0.3047 0.9988 0.3920

---

Record 4
# CuAgOs2 | Alexandria | PBE-GGA | relaxed
# Space-group type = No. 25
# Distance to the lowest polymorph of the same formula = 62 meV/atom
# Formation enthalpy at 0 K = 0.371 eV/atom
# Density = 15.4 g/cm³
# Total magnetic moment = 0.000 μB/atom
data_CuAgOs2
_chemical_formula_sum 'Cu1 Ag1 Os2'
_cell_length_a 2.7698
_cell_length_b 3.7982
_cell_length_c 5.6408
_cell_angle_alpha 90.00
_cell_angle_beta 90.00
_cell_angle_gamma 90.00
_symmetry_space_group_name_H-M 'P 1'
_symmetry_Int_Tables_number 1
loop_
_symmetry_equiv_pos_as_xyz
'x,y,z'
loop_
_atom_site_label
_atom_site_type_symbol
_atom_site_fract_x
_atom_site_fract_y
_atom_site_fract_z
Ag1 Ag 0.0000 0.0000 0.5189
Cu1 Cu 0.5000 0.5000 0.7509
Os1 Os 0.0000 0.0000 0.0193
Os2 Os 0.5000 0.5000 0.2109

---

Q: Look up the density of the third one.
A: 11.1 g/cm³

---

What did the fourth record say?
# CuAgOs2 | Alexandria | PBE-GGA | relaxed
# Space-group type = No. 25
# Distance to the lowest polymorph of the same formula = 62 meV/atom
# Formation enthalpy at 0 K = 0.371 eV/atom
# Density = 15.4 g/cm³
# Total magnetic moment = 0.000 μB/atom
data_CuAgOs2
_chemical_formula_sum 'Cu1 Ag1 Os2'
_cell_length_a 2.7698
_cell_length_b 3.7982
_cell_length_c 5.6408
_cell_angle_alpha 90.00
_cell_angle_beta 90.00
_cell_angle_gamma 90.00
_symmetry_space_group_name_H-M 'P 1'
_symmetry_Int_Tables_number 1
loop_
_symmetry_equiv_pos_as_xyz
'x,y,z'
loop_
_atom_site_label
_atom_site_type_symbol
_atom_site_fract_x
_atom_site_fract_y
_atom_site_fract_z
Ag1 Ag 0.0000 0.0000 0.5189
Cu1 Cu 0.5000 0.5000 0.7509
Os1 Os 0.0000 0.0000 0.0193
Os2 Os 0.5000 0.5000 0.2109